The following is a DFT calculation (PBE) of an optimized crystal structure of Ca4PuPd5.

Computed properties:
Magnetization (μB/f.u.): 5.434
Density (g/cm³): 7.0
DFT formation energy (kJ per mole of atoms): -59.15
Total energy (eV/cell): -54.4
V (Å³/f.u.): 221

a b c (Å): 3.5223 3.5223 17.7871
angles (deg): 90.00 90.00 90.00
Space group P4/mmm (No. 123)
One atom of each set of equivalent atoms:
1 Ca 0.0000 0.0000 0.0990 (multiplicity 2)
2 Ca 0.0000 0.0000 0.2969 (multiplicity 2)
3 Pu 0.0000 0.0000 0.5000 (multiplicity 1)
4 Pd 0.5000 0.5000 0.0000 (multiplicity 1)
5 Pd 0.5000 0.5000 0.1981 (multiplicity 2)
6 Pd 0.5000 0.5000 0.4031 (multiplicity 2)